## Cd2P (PBE)

Data for crystalline Cd2P at its relaxed geometry.

a b c (Å): 4.197 15.191 4.195
angles (deg): 90.00 90.00 90.00
Space group Cmcm (No. 63)
Inequivalent atoms, fractional coordinates:
Cd: 0.000 0.069 0.250
Cd: 0.000 0.248 0.750
P: 0.000 0.370 0.250

Properties
Calculated total energy = -26.538 eV for the cell shown
Polymorph energy (0 for the lowest one) = 112.5 meV per atom
M_tot = 0.00 Bohr magnetons per cell
Density of states at the Fermi level = 2.68 states/eV/cell
Energy relative to the elements = 0.202 eV per atom

---

## Y7Er4Tm (PBE)

Data for crystalline Y7Er4Tm at its relaxed geometry.

a b c (Å): 18.666 6.913 5.974
angles (deg): 90.00 90.67 90.00
Space group C2/m (No. 12)
Inequivalent atoms, fractional coordinates:
Y: 0.000 0.000 0.000
Y: 0.039 0.500 0.252
Y: 0.187 0.000 0.252
Y: 0.214 0.500 0.244
Er: 0.136 0.270 0.745
Tm: 0.000 0.000 0.500

Properties
Calculated total energy = -132.462 eV for the cell shown
Polymorph energy (0 for the lowest one) = 0.0 meV per atom
M_tot = 0.00 Bohr magnetons per cell
Density of states at the Fermi level = 44.28 states/eV/cell
Energy relative to the elements = 0.145 eV per atom

---

## TlCuI2N (PBE)

Data for crystalline TlCuI2N at its relaxed geometry.

a b c (Å): 6.163 6.163 4.238
angles (deg): 90.00 90.00 90.00
Space group P4/mmm (No. 123)
Inequivalent atoms, fractional coordinates:
Tl: 0.000 0.000 0.000
Cu: 0.500 0.500 0.500
I: 0.000 0.500 0.000
N: 0.000 0.000 0.500

Properties
E_form (uncorrected) = 1.119 eV/atom
Calculated total energy = -12.291 eV for the cell shown
Polymorph energy (0 for the lowest one) = 694.5 meV per atom
M_tot = 1.37 Bohr magnetons per cell
Density of states at the Fermi level = 2.49 states/eV/cell

---

## CsDyMn2Te4 (PBE)

Data for crystalline CsDyMn2Te4 at its relaxed geometry.

a b c (Å): 7.187 9.491 9.976
angles (deg): 90.00 90.00 90.00
Space group I222 (No. 23)
Inequivalent atoms, fractional coordinates:
Cs: 0.000 0.000 0.000
Dy: 0.000 0.000 0.500
Mn: 0.000 0.500 0.097
Te: 0.248 0.329 0.829

Properties
E_form (uncorrected) = -0.318 eV/atom
Calculated total energy = -77.814 eV for the cell shown
M_tot = 8.06 Bohr magnetons per cell

---

## HgRhW2 (PBE)

Data for crystalline HgRhW2 at its relaxed geometry.

a b c (Å): 3.890 3.890 4.337
angles (deg): 90.00 90.00 90.00
Space group P4/mmm (No. 123)
Inequivalent atoms, fractional coordinates:
Hg: 0.000 0.000 0.000
Rh: 0.500 0.500 0.000
W: 0.000 0.500 0.500

Properties
Calculated total energy = -31.653 eV for the cell shown
M_tot = 0.00 Bohr magnetons per cell
Density of states at the Fermi level = 4.02 states/eV/cell
Energy relative to the elements = 0.477 eV per atom

---

## CaTaI3 (PBE)

Data for crystalline CaTaI3 at its relaxed geometry.

a b c (Å): 5.696 5.696 5.696
angles (deg): 90.00 90.00 90.00
Space group Pm-3m (No. 221)
Inequivalent atoms, fractional coordinates:
Ca: 0.000 0.000 0.000
Ta: 0.500 0.500 0.500
I: 0.000 0.500 0.500

Properties
E_form (uncorrected) = 0.086 eV/atom
Calculated total energy = -18.074 eV for the cell shown
Polymorph energy (0 for the lowest one) = 0.0 meV per atom
M_tot = 3.20 Bohr magnetons per cell
Density of states at the Fermi level = 4.13 states/eV/cell

---

## Na3Er2ZrO6 (PBE)

Data for crystalline Na3Er2ZrO6 at its relaxed geometry.

a b c (Å): 5.762 9.974 5.931
angles (deg): 90.00 108.89 90.00
Space group C2/m (No. 12)
Inequivalent atoms, fractional coordinates:
Na: 0.000 0.000 0.000
Na: 0.000 0.335 0.000
Er: 0.000 0.167 0.500
Zr: 0.000 0.500 0.500
O: 0.234 0.338 0.714
O: 0.248 0.000 0.713

Properties
E_form (uncorrected) = -2.659 eV/atom
Calculated total energy = -166.582 eV for the cell shown
M_tot = 0.00 Bohr magnetons per cell
Density of states at the Fermi level = 7.27 states/eV/cell

---

## Ac7PmPb5 (PBE)

Data for crystalline Ac7PmPb5 at its relaxed geometry.

a b c (Å): 6.979 11.749 12.078
angles (deg): 90.00 90.00 90.00
Space group Imm2 (No. 44)
Inequivalent atoms, fractional coordinates:
Ac: 0.000 0.000 0.000
Ac: 0.000 0.000 0.353
Ac: 0.000 0.320 0.555
Ac: 0.000 0.336 0.041
Ac: 0.000 0.500 0.307
Pm: 0.000 0.000 0.676
Pb: 0.000 0.500 0.790
Pb: 0.235 0.238 0.798

Properties
Calculated total energy = -112.129 eV for the cell shown
M_tot = 0.00 Bohr magnetons per cell
Density of states at the Fermi level = 25.65 states/eV/cell
Energy relative to the elements = -0.309 eV per atom

---

## BeHg2As (PBE)

Data for crystalline BeHg2As at its relaxed geometry.

a b c (Å): 4.531 4.088 4.551
angles (deg): 90.00 101.89 90.00
Space group P2/m (No. 10)
Inequivalent atoms, fractional coordinates:
Be: 0.000 0.000 0.000
Hg: 0.216 0.500 0.784
As: 0.500 0.000 0.500

Properties
Calculated total energy = -7.289 eV for the cell shown
Polymorph energy (0 for the lowest one) = 363.2 meV per atom
M_tot = 0.00 Bohr magnetons per cell
Density of states at the Fermi level = 2.04 states/eV/cell
Energy relative to the elements = 0.422 eV per atom

---

## TbHoIr (PBE)

Data for crystalline TbHoIr at its relaxed geometry.

a b c (Å): 4.804 4.804 6.788
angles (deg): 90.00 90.00 90.00
Space group P4_2/mmc (No. 131)
Inequivalent atoms, fractional coordinates:
Tb: 0.000 0.000 0.250
Ho: 0.500 0.500 0.250
Ir: 0.000 0.500 0.000

Properties
Calculated total energy = -40.372 eV for the cell shown
Polymorph energy (0 for the lowest one) = 0.0 meV per atom
M_tot = 0.00 Bohr magnetons per cell
Density of states at the Fermi level = 4.41 states/eV/cell
Energy relative to the elements = -0.706 eV per atom

---

## AcSm3Ho6Tm2 (PBE)

Data for crystalline AcSm3Ho6Tm2 at its relaxed geometry.

a b c (Å): 6.204 10.741 11.861
angles (deg): 90.00 100.01 90.00
Space group C2/m (No. 12)
Inequivalent atoms, fractional coordinates:
Ac: 0.000 0.000 0.000
Sm: 0.000 0.167 0.500
Sm: 0.000 0.500 0.500
Ho: 0.247 0.332 0.748
Ho: 0.248 0.500 0.252
Tm: 0.000 0.333 0.000

Properties
Calculated total energy = -108.607 eV for the cell shown
M_tot = 0.00 Bohr magnetons per cell
Density of states at the Fermi level = 29.91 states/eV/cell
Energy relative to the elements = 0.031 eV per atom

---

## La4PmSm3Te8 (PBE)

Data for crystalline La4PmSm3Te8 at its relaxed geometry.

a b c (Å): 9.0437 9.0437 22.0701
angles (deg): 90.00 90.00 120.00
Space group R-3m (No. 166, hexagonal axes)
Inequivalent atoms, fractional coordinates:
La: 0.0000 0.0000 0.0000
La: 0.0000 0.5000 0.0000
Pm: 0.0000 0.0000 0.5000
Sm: 0.0000 0.5000 0.5000
Te: 0.0000 0.0000 0.2469
Te: 0.0009 0.5004 0.7529

Properties
E_form (uncorrected) = -1.493 eV/atom
Calculated total energy = -262.918 eV for the cell shown
M_tot = 0.00 Bohr magnetons per cell
Density of states at the Fermi level = 38.28 states/eV/cell

---

## BaMg2As (PBE)

Data for crystalline BaMg2As at its relaxed geometry.

a b c (Å): 4.720 4.720 10.425
angles (deg): 90.00 90.00 90.00
Space group I4/mmm (No. 139)
Inequivalent atoms, fractional coordinates:
Ba: 0.000 0.000 0.000
Mg: 0.000 0.500 0.250
As: 0.000 0.000 0.500

Properties
Calculated total energy = -21.146 eV for the cell shown
M_tot = 0.00 Bohr magnetons per cell
Density of states at the Fermi level = 4.00 states/eV/cell
Energy relative to the elements = -0.203 eV per atom

---

## TiGaFe14 (PBE)

Data for crystalline TiGaFe14 at its relaxed geometry.

a b c (Å): 5.731 8.101 8.135
angles (deg): 90.00 90.00 90.00
Space group Cmmm (No. 65)
Inequivalent atoms, fractional coordinates:
Ti: 0.000 0.000 0.000
Ga: 0.000 0.500 0.000
Fe: 0.000 0.000 0.500
Fe: 0.000 0.252 0.251
Fe: 0.000 0.500 0.500
Fe: 0.250 0.000 0.257
Fe: 0.250 0.250 0.000
Fe: 0.250 0.250 0.500

Properties
Calculated total energy = -261.075 eV for the cell shown
M_tot = 59.54 Bohr magnetons per cell
Density of states at the Fermi level = 25.16 states/eV/cell
Energy relative to the elements = -0.071 eV per atom

---

## BaPa3S7 (PBE)

Data for crystalline BaPa3S7 at its relaxed geometry.

a b c (Å): 8.898 9.747 7.000
angles (deg): 90.00 110.08 90.00
Space group C2/m (No. 12)
Inequivalent atoms, fractional coordinates:
Ba: 0.000 0.000 0.000
Pa: 0.000 0.275 0.500
Pa: 0.000 0.500 0.000
S: 0.000 0.000 0.500
S: 0.143 0.500 0.726
S: 0.174 0.296 0.241

Properties
E_form (uncorrected) = -1.652 eV/atom
Calculated total energy = -154.960 eV for the cell shown
M_tot = 6.10 Bohr magnetons per cell
Density of states at the Fermi level = 26.43 states/eV/cell

---

## In2TcPt (PBE)

Data for crystalline In2TcPt at its relaxed geometry.

a b c (Å): 7.458 7.458 5.818
angles (deg): 90.00 90.00 90.00
Space group I-42d (No. 122)
Inequivalent atoms, fractional coordinates:
In: 0.238 0.250 0.125
Tc: 0.000 0.000 0.500
Pt: 0.000 0.000 0.000

Properties
Calculated total energy = -81.648 eV for the cell shown
M_tot = 7.40 Bohr magnetons per cell
Density of states at the Fermi level = 13.59 states/eV/cell
Energy relative to the elements = 0.368 eV per atom

---

## BeGePdAu2 (PBE)

Data for crystalline BeGePdAu2 at its relaxed geometry.

a b c (Å): 5.098 5.098 4.046
angles (deg): 90.00 90.00 90.00
Space group P4/mmm (No. 123)
Inequivalent atoms, fractional coordinates:
Be: 0.000 0.000 0.000
Ge: 0.500 0.500 0.000
Pd: 0.000 0.000 0.500
Au: 0.000 0.500 0.500

Properties
Calculated total energy = -17.174 eV for the cell shown
M_tot = 0.00 Bohr magnetons per cell
Density of states at the Fermi level = 1.78 states/eV/cell
Energy relative to the elements = 0.583 eV per atom

---

## Mn2PtPb (PBE)

Data for crystalline Mn2PtPb at its relaxed geometry.

a b c (Å): 3.904 3.904 18.583
angles (deg): 90.00 90.00 90.00
Space group I-42d (No. 122)
Inequivalent atoms, fractional coordinates:
Mn: 0.141 0.250 0.125
Pt: 0.000 0.000 0.000
Pb: 0.000 0.000 0.500

Properties
Calculated total energy = -100.930 eV for the cell shown
M_tot = 0.00 Bohr magnetons per cell
Density of states at the Fermi level = 18.95 states/eV/cell
Energy relative to the elements = 0.714 eV per atom

---

## Sc2AgSe (PBE)

Data for crystalline Sc2AgSe at its relaxed geometry.

a b c (Å): 7.267 7.267 6.839
angles (deg): 90.00 90.00 90.00
Space group I-42d (No. 122)
Inequivalent atoms, fractional coordinates:
Sc: 0.238 0.250 0.125
Ag: 0.000 0.000 0.500
Se: 0.000 0.000 0.000

Properties
E_form (uncorrected) = -0.536 eV/atom
Calculated total energy = -84.571 eV for the cell shown
M_tot = 0.00 Bohr magnetons per cell
Density of states at the Fermi level = 14.70 states/eV/cell

---

## KTb2CuSe4 (PBE)

Data for crystalline KTb2CuSe4 at its relaxed geometry.

a b c (Å): 4.129 14.137 14.411
angles (deg): 90.00 90.00 90.00
Space group Cmcm (No. 63)
Inequivalent atoms, fractional coordinates:
K: 0.000 0.112 0.250
Tb: 0.000 0.366 0.065
Cu: 0.000 0.160 0.750
Se: 0.000 0.000 0.000
Se: 0.000 0.265 0.612
Se: 0.000 0.436 0.250

Properties
E_form (uncorrected) = -1.520 eV/atom
Calculated total energy = -162.205 eV for the cell shown
M_tot = 0.00 Bohr magnetons per cell